Record 1
Na2Zr2CuSe6: relaxed, PBE-GGA.

Structure (POSCAR):
```
Na2Zr2CuSe6
1.0
3.294 -5.864 0.000
3.294 5.864 0.000
-2.185 0.000 7.153
Na Zr Cu Se
2 2 1 6
Cartesian
3.294 3.940 0.000
3.294 -3.940 0.000
2.201 1.983 3.576
2.201 -1.983 3.576
-1.093 0.000 3.576
0.033 1.971 5.143
0.960 0.000 2.131
0.033 -1.971 5.143
4.369 1.971 2.010
3.443 0.000 5.022
4.369 -1.971 2.010
```

Values from the calculation:
Raw formation energy = -23.58 kcal/mol of atoms
Space group = No. 12

***

Record 2
Pd7Rh: relaxed, PBE-GGA.

Structure (POSCAR):
```
Pd7Rh
1.0
0.000 3.930 3.930
3.930 0.000 3.930
3.930 3.930 0.000
Pd Rh
7 1
Cartesian
0.000 0.000 0.000
1.965 1.965 0.000
1.965 0.000 1.965
3.930 1.965 1.965
0.000 1.965 1.965
1.965 3.930 1.965
1.965 1.965 3.930
3.930 3.930 3.930
```

Values from the calculation:
Space group = No. 225
Formation energy = 0.037 eV/atom

***

Record 3
ZrBiSCl2: relaxed, PBE-GGA.

Structure (POSCAR):
```
ZrBiSCl2
1.0
5.050 0.000 0.000
0.000 5.050 0.000
0.000 0.000 5.141
Zr Bi S Cl
1 1 1 2
Cartesian
0.000 0.000 0.000
2.525 2.525 2.571
0.000 0.000 2.571
0.000 2.525 0.000
2.525 0.000 0.000
```

Values from the calculation:
Raw formation energy = -15.07 kcal/mol of atoms
Space group = No. 123

***

no.,ρ (g/cm³)
1,4.60
2,11.59
3,5.11